No. 1
# Li2TlIn

A relaxed Li2TlIn crystal (GGA-PBE, the Alexandria database).

Cell: 5.009 5.009 6.106 Å, 98.01 98.01 36.71°
Fractional coordinates of all 4 atoms:
Li: 0.248 0.248 0.243
Li: 0.752 0.752 0.757
Tl: 0.000 0.000 0.500
In: 0.500 0.500 0.000

crystal system: monoclinic
energy of formation from the pure elements: -0.139 eV per atom
V: 22.65 A^3/atom

***

No. 2
# Rb3SeS3

A relaxed Rb3SeS3 crystal (GGA-PBE, the Alexandria database).

Cell: 9.691 9.691 6.767 Å, 90.00 90.00 120.00°
Fractional coordinates of all 14 atoms:
Rb: 0.083 0.371 0.250
Rb: 0.288 0.917 0.250
Rb: 0.371 0.288 0.750
Rb: 0.629 0.712 0.250
Rb: 0.712 0.083 0.750
Rb: 0.917 0.629 0.750
Se: 0.333 0.667 0.750
Se: 0.667 0.333 0.250
S: 0.100 0.405 0.750
S: 0.305 0.900 0.750
S: 0.405 0.305 0.250
S: 0.595 0.695 0.750
S: 0.695 0.100 0.250
S: 0.900 0.595 0.250

crystal system: hexagonal
energy relative to the elements, uncorrected: -0.70 eV/atom
V: 39.32 A^3/atom

***

No. 3
# Tc2NiRh

A relaxed Tc2NiRh crystal (GGA-PBE, the Alexandria database).

Cell: 4.754 4.754 4.754 Å, 134.23 134.23 66.73°
Fractional coordinates of all 4 atoms:
Tc: 0.250 0.750 0.500
Tc: 0.750 0.250 0.500
Ni: 0.000 0.000 0.000
Rh: 0.500 0.500 0.000

crystal system: tetragonal
energy of formation from the pure elements: 0.010 eV per atom
energy relative to the lowest polymorph listed for this composition: 96 meV per atom
V: 13.57 A^3/atom

***

No. 4
# HfAg2Mo

A relaxed HfAg2Mo crystal (GGA-PBE, the Alexandria database).

Cell: 4.689 4.689 4.689 Å, 60.00 60.00 60.00°
Fractional coordinates of all 4 atoms:
Hf: 0.000 0.000 0.000
Ag: 0.250 0.250 0.250
Ag: 0.750 0.750 0.750
Mo: 0.500 0.500 0.500

crystal system: cubic
energy of formation from the pure elements: 0.486 eV per atom
energy relative to the lowest polymorph listed for this composition: 0 meV per atom
V: 18.23 A^3/atom

***

No. 5
# Ag2HRhAu

A relaxed Ag2HRhAu crystal (GGA-PBE, the Alexandria database).

Cell: 4.401 4.401 3.647 Å, 90.00 90.00 90.00°
Fractional coordinates of all 5 atoms:
Ag: 0.000 0.500 0.000
Ag: 0.500 0.000 0.000
H: 0.000 0.000 0.000
Rh: 0.000 0.000 0.500
Au: 0.500 0.500 0.500

VASP energy: -19.19 eV for the cell shown
crystal system: tetragonal
V: 14.13 A^3/atom

***

No. 6
# CoHBrN

A relaxed CoHBrN crystal (GGA-PBE, the Alexandria database).

Cell: 3.172 3.172 6.257 Å, 90.00 90.00 120.00°
Fractional coordinates of all 4 atoms:
Co: 0.000 0.000 0.000
H: 0.667 0.333 0.745
Br: 0.000 0.000 0.381
N: 0.667 0.333 0.911

crystal system: trigonal
energy relative to the lowest polymorph listed for this composition: 31 meV per atom
V: 13.63 A^3/atom

***

No. 7
# SiNiAu2

A relaxed SiNiAu2 crystal (GGA-PBE, the Alexandria database).

Cell: 6.587 6.587 3.719 Å, 99.71 99.71 24.36°
Fractional coordinates of all 4 atoms:
Si: 0.000 0.000 0.000
Ni: 0.500 0.500 0.500
Au: 0.178 0.178 0.717
Au: 0.822 0.822 0.283

crystal system: monoclinic
energy relative to the elements, uncorrected: -0.06 eV/atom
V: 16.40 A^3/atom

***

Let's list magnetic moment in order: 0.00; 2.08; 0.00; 0.00; 0.00; 1.67; 0.00 μB per cell.